Model a:
First-principles (GGA-PBE) data for a geometry-optimized BePt2Se structure, as listed in Alexandria.

a b c (Å): 3.483 4.282 4.196
angles (deg): 90.00 90.59 90.00
Positions (direct):
Be  0.000  0.000  0.000
Pt  0.490  0.000  0.609
Pt  0.994  0.500  0.808
Se  0.498  0.500  0.281

---

Model b:
First-principles (GGA-PBE) data for a geometry-optimized BePt2Se structure, as listed in Alexandria.

a b c (Å): 6.652 6.652 2.977
angles (deg): 102.80 102.80 29.22
Positions (direct):
Be  0.000  0.000  0.000
Pt  0.377  0.377  0.877
Pt  0.570  0.570  0.569
Se  0.742  0.742  0.241

---

Which one sits at the top of the stability order? model b does.

---

Model a:
First-principles (GGA-PBE) data for a geometry-optimized Be2PH structure, as listed in Alexandria.

a b c (Å): 3.902 3.935 5.681
angles (deg): 90.00 108.19 90.00
Positions (direct):
Be  0.058  0.000  0.387
Be  0.319  0.747  0.151
Be  0.681  0.247  0.849
Be  0.942  0.500  0.613
P  0.159  0.000  0.787
P  0.841  0.500  0.213
H  0.398  0.014  0.336
H  0.602  0.514  0.664

---

Model b:
First-principles (GGA-PBE) data for a geometry-optimized Be2PH structure, as listed in Alexandria.

a b c (Å): 3.637 3.637 7.458
angles (deg): 104.06 104.06 61.84
Positions (direct):
Be  0.048  0.523  0.616
Be  0.200  0.200  0.098
Be  0.477  0.952  0.384
Be  0.800  0.800  0.902
P  0.135  0.068  0.794
P  0.932  0.865  0.206
H  0.386  0.325  0.513
H  0.675  0.614  0.487

---

Which one sits at the top of the stability order? model a does.

---

Model a:
First-principles (GGA-PBE) data for a geometry-optimized Ca2CrRe structure, as listed in Alexandria.

a b c (Å): 10.473 10.473 10.473
angles (deg): 17.27 17.27 17.27
Positions (direct):
Ca  0.245  0.245  0.245
Ca  0.755  0.755  0.755
Cr  0.000  0.000  0.000
Re  0.500  0.500  0.500

---

Model b:
First-principles (GGA-PBE) data for a geometry-optimized Ca2CrRe structure, as listed in Alexandria.

a b c (Å): 6.369 6.369 6.369
angles (deg): 101.06 101.06 128.04
Positions (direct):
Ca  0.124  0.625  0.999
Ca  0.375  0.374  0.499
Ca  0.626  0.125  0.001
Ca  0.875  0.876  0.501
Cr  0.000  0.000  0.000
Cr  0.750  0.250  0.500
Re  0.250  0.750  0.500
Re  0.500  0.500  0.000

---

Which one sits at the top of the stability order? model a does.

---

Model a:
First-principles (GGA-PBE) data for a geometry-optimized Sr structure, as listed in Alexandria.

a b c (Å): 6.778 6.778 7.075
angles (deg): 90.00 90.00 120.00
Positions (direct):
Sr  0.000  0.000  0.250
Sr  0.000  0.000  0.750
Sr  0.333  0.667  0.250
Sr  0.667  0.333  0.750

---

Model b:
First-principles (GGA-PBE) data for a geometry-optimized Sr structure, as listed in Alexandria.

a b c (Å): 4.238 4.238 14.014
angles (deg): 90.00 90.00 120.00
Positions (direct):
Sr  0.000  0.000  0.000
Sr  0.000  0.000  0.500
Sr  0.333  0.667  0.250
Sr  0.667  0.333  0.750

---

Which one sits at the top of the stability order? model b does.